Lu5Pu3H12: optimized geometry, PBE.

abc: 12.7786 12.7786 12.7786
angles: 90.00 90.00 90.00
Space group Ia-3d (No. 230)
Asymmetric unit:
Lu  0.0000  0.0000  0.0000 [16 per cell]
Lu  0.0000  0.2500  0.3750 [24 per cell]
Pu  0.0000  0.2500  0.1250 [24 per cell]
H  0.0079  0.0698  0.6531 [96 per cell]

Summary:
Fermi-level density of states   1.13 states/eV/atom
E_tot   -5.657 eV per atom

---

LuPuH2: optimized geometry, PBE.

abc: 3.3832 3.3832 16.9697
angles: 90.00 90.00 120.00
Space group R-3m (No. 166, hexagonal axes)
Asymmetric unit:
Lu  0.0000  0.0000  0.0000 [3 per cell]
Pu  0.0000  0.0000  0.5000 [3 per cell]
H  0.0000  0.0000  0.2608 [6 per cell]

Summary:
Fermi-level density of states   1.76 states/eV/atom
E_tot   -6.666 eV per atom

---

RbLuH: optimized geometry, PBE.

abc: 14.1317 3.6221 6.1768
angles: 90.00 90.00 90.00
Space group Amm2 (No. 38)
Asymmetric unit:
Rb  0.1337  0.0000  0.0000 [4 per cell]
Lu  0.3923  0.0000  0.5579 [4 per cell]
H  0.0000  0.0000  0.6615 [2 per cell]
H  0.5000  0.0000  0.8860 [2 per cell]

Summary:
Fermi-level density of states   0.66 states/eV/atom
E_tot   -2.721 eV per atom

---

Lu12Re3H5: optimized geometry, PBE.

abc: 14.8060 14.8060 14.8060
angles: 90.00 90.00 90.00
Space group Ia-3d (No. 230)
Asymmetric unit:
Lu  0.0322  0.0606  0.6557 [96 per cell]
Re  0.0000  0.2500  0.1250 [24 per cell]
H  0.0000  0.0000  0.0000 [16 per cell]
H  0.0000  0.2500  0.3750 [24 per cell]

Summary:
Fermi-level density of states   0.59 states/eV/atom
E_tot   -5.594 eV per atom

---

LuHRh2: optimized geometry, PBE.

abc: 3.0860 3.0860 5.9821
angles: 90.00 90.00 90.00
Space group P4/mmm (No. 123)
Asymmetric unit:
Lu  0.0000  0.0000  0.0000 [1 per cell]
H  0.0000  0.0000  0.5000 [1 per cell]
Rh  0.5000  0.5000  0.2898 [2 per cell]

Summary:
Relative energy among the computed polymorphs   0.0 meV per atom
Fermi-level density of states   0.35 states/eV/atom
E_tot   -5.705 eV per atom

---

Lu2HRh: optimized geometry, PBE.

abc: 3.7325 3.7325 18.0321
angles: 90.00 90.00 120.00
Space group R-3m (No. 166, hexagonal axes)
Asymmetric unit:
Lu  0.0000  0.0000  0.2422 [6 per cell]
H  0.0000  0.0000  0.5000 [3 per cell]
Rh  0.0000  0.0000  0.0000 [3 per cell]

Summary:
Relative energy among the computed polymorphs   0.0 meV per atom
Fermi-level density of states   0.18 states/eV/atom
E_tot   -5.494 eV per atom

---

Lu2HRh: optimized geometry, PBE.

abc: 3.1783 3.1783 6.9381
angles: 90.00 90.00 90.00
Space group P4/mmm (No. 123)
Asymmetric unit:
Lu  0.0000  0.0000  0.2455 [2 per cell]
H  0.5000  0.5000  0.0000 [1 per cell]
Rh  0.5000  0.5000  0.5000 [1 per cell]

Summary:
Relative energy among the computed polymorphs   203.2 meV per atom
Fermi-level density of states   0.85 states/eV/atom
E_tot   -5.291 eV per atom

---

LuH3Rh: optimized geometry, PBE.

abc: 3.6024 3.6024 3.6024
angles: 90.00 90.00 90.00
Space group Pm-3m (No. 221)
Asymmetric unit:
Lu  0.0000  0.0000  0.0000 [1 per cell]
H  0.0000  0.5000  0.5000 [3 per cell]
Rh  0.5000  0.5000  0.5000 [1 per cell]

Summary:
Fermi-level density of states   0.23 states/eV/atom
E_tot   -4.936 eV per atom

---

Lu12H5Rh3: optimized geometry, PBE.

abc: 14.7061 14.7061 14.7061
angles: 90.00 90.00 90.00
Space group Ia-3d (No. 230)
Asymmetric unit:
Lu  0.0349  0.0602  0.6555 [96 per cell]
H  0.0000  0.0000  0.0000 [16 per cell]
H  0.0000  0.2500  0.3750 [24 per cell]
Rh  0.0000  0.2500  0.1250 [24 per cell]

Summary:
Fermi-level density of states   0.68 states/eV/atom
E_tot   -5.127 eV per atom

---

LuHRh2: optimized geometry, PBE.

abc: 2.9617 2.9617 22.2522
angles: 90.00 90.00 120.00
Space group R-3m (No. 166, hexagonal axes)
Asymmetric unit:
Lu  0.0000  0.0000  0.0000 [3 per cell]
H  0.0000  0.0000  0.5000 [3 per cell]
Rh  0.0000  0.0000  0.1153 [6 per cell]

Summary:
Relative energy among the computed polymorphs   276.0 meV per atom
Fermi-level density of states   1.42 states/eV/atom
E_tot   -5.429 eV per atom

---

LuH2Ru: optimized geometry, PBE.

abc: 3.5282 3.5282 13.0875
angles: 90.00 90.00 120.00
Space group R-3m (No. 166, hexagonal axes)
Asymmetric unit:
Lu  0.0000  0.0000  0.0000 [3 per cell]
H  0.0000  0.0000  0.3716 [6 per cell]
Ru  0.0000  0.0000  0.5000 [3 per cell]

Summary:
Fermi-level density of states   0.41 states/eV/atom
E_tot   -5.432 eV per atom

---

Lu12H5Ru3: optimized geometry, PBE.

abc: 14.7028 14.7028 14.7028
angles: 90.00 90.00 90.00
Space group Ia-3d (No. 230)
Asymmetric unit:
Lu  0.0330  0.0607  0.6559 [96 per cell]
H  0.0000  0.0000  0.0000 [16 per cell]
H  0.0000  0.2500  0.3750 [24 per cell]
Ru  0.0000  0.2500  0.1250 [24 per cell]

Summary:
Fermi-level density of states   0.70 states/eV/atom
E_tot   -5.301 eV per atom

---

Question: Number 9 is which compound?
Answer: Lu12H5Rh3

---

Question: Which value of E_tot does entry 7 give?
Answer: -5.291 eV per atom

---

Question: Among the records above, which one has the lowest Fermi-level density of states?
Answer: number 6

---

Question: Which of these has the lowest E_tot?
Answer: LuPuH2